1.
## Hg2BiMo (PBE)

Data for a relaxed Hg2BiMo crystal.

Structure (extended XYZ):
```
4
Lattice="-3.514 -3.173 1.929 -4.485 1.838 1.626 -4.272 -0.987 -2.630" Properties=species:S:1:pos:R:3 pbc="T T T"
Bi -6.136 -1.161 0.463
Hg 0.000 0.000 0.000
Hg -9.204 -1.741 0.694
Mo -3.068 -0.580 0.231
```

Results
The total moment is 2.593 μB per cell. The calculation puts the total DFT energy (no corrections) at -12.4 eV for the cell shown.

***

2.
## NiHgBiMo (PBE)

Data for a relaxed NiHgBiMo crystal.

Structure (extended XYZ):
```
4
Lattice="0.000 3.329 3.329 3.329 0.000 3.329 3.329 3.329 0.000" Properties=species:S:1:pos:R:3 pbc="T T T"
Bi 0.000 0.000 0.000
Hg 3.329 3.329 3.329
Mo 1.664 1.664 1.664
Ni 4.993 4.993 4.993
```

Results
The total moment is 0.015 μB per cell. The offset from the most stable computed form comes out at 0 meV per atom.

***

3.
## NiHgBiMo (PBE)

Data for a relaxed NiHgBiMo crystal.

Structure (extended XYZ):
```
4
Lattice="0.045 1.972 4.410 0.689 4.754 0.513 -3.649 2.830 1.417" Properties=species:S:1:pos:R:3 pbc="T T T"
Bi 0.000 0.000 0.000
Hg -0.729 2.389 1.585
Mo -1.458 4.778 3.170
Ni -2.187 7.167 4.755
```

Results
The total moment is 3.000 μB per cell. The offset from the most stable computed form comes out at 158 meV per atom.

***

4.
## NaNiHgBi (PBE)

Data for a relaxed NaNiHgBi crystal.

Structure (extended XYZ):
```
4
Lattice="0.000 3.450 3.450 3.450 0.000 3.450 3.450 3.450 0.000" Properties=species:S:1:pos:R:3 pbc="T T T"
Bi 3.450 3.450 3.450
Hg 0.000 0.000 0.000
Na 5.174 5.174 5.174
Ni 1.725 1.725 1.725
```

Results
The total moment is 0.000 μB per cell. The offset from the most stable computed form comes out at 0 meV per atom.